[1]
Here is crystalline Ac3PSN at its relaxed geometry from the Alexandria database. Energies are from PBE.

Lattice parameters (Å, degrees): 8.8489 4.2815 9.9439 90.00 100.31 90.00
Last column: nearest neighbours and their distance in Å.
Sites, in units of the cell vectors:
Ac 0.0840 0.2500 0.3377  3 P 3.01-3.05, 2 S 3.09
Ac 0.3176 0.2500 0.9749  3 N 2.47-2.49
Ac 0.4053 0.7500 0.6560  1 N 2.36
Ac 0.5947 0.2500 0.3440  1 N 2.36
Ac 0.6824 0.7500 0.0251  3 N 2.47-2.49
Ac 0.9160 0.7500 0.6623  3 P 3.01-3.05, 2 S 3.09
P 0.1566 0.2500 0.6448  6 Ac 3.01-3.34
P 0.8434 0.7500 0.3552  6 Ac 3.01-3.34
S 0.3287 0.7500 0.3119  5 Ac 3.09-3.37
S 0.6713 0.2500 0.6881  5 Ac 3.09-3.37
N 0.4165 0.7500 0.8953  4 Ac 2.36-2.49
N 0.5835 0.2500 0.1047  4 Ac 2.36-2.49

**Calculated total energy**: -78.08 eV/cell
**Fermi-level density of states**: 0.39 states/eV per atom
**Theoretical density**: 6.79 Mg/m³
**ΔE_f (raw)**: -1475.0 meV per atom
**Space group**: P2_1/m
**Total magnetic moment**: 0.00 μB/f.u.

[2]
Here is crystalline Ac4SbP2N at its relaxed geometry from the Alexandria database. Energies are from PBE.

Lattice parameters (Å, degrees): 7.8332 7.8332 15.2814 90.00 90.00 146.92
Last column: nearest neighbours and their distance in Å.
Sites, in units of the cell vectors:
Ac 0.0000 0.0000 0.0000  4 P 3.07
Ac 0.0000 0.0000 0.5000  4 P 3.07
Ac 0.2577 0.7423 0.6259  1 N 2.41
Ac 0.2577 0.7423 0.8741  1 N 2.41
Ac 0.4280 0.5720 0.2500  2 N 2.58
Ac 0.5720 0.4280 0.7500  2 N 2.58
Ac 0.7423 0.2577 0.1259  1 N 2.41
Ac 0.7423 0.2577 0.3741  1 N 2.41
Sb 0.1088 0.8912 0.2500  6 Ac 3.51-3.55
Sb 0.8912 0.1088 0.7500  6 Ac 3.51-3.55
P 0.3691 0.6309 0.0513  6 Ac 3.07-3.18
P 0.3691 0.6309 0.4487  6 Ac 3.07-3.18
P 0.6309 0.3691 0.5513  6 Ac 3.07-3.18
P 0.6309 0.3691 0.9487  6 Ac 3.07-3.18
N 0.1583 0.8417 0.7500  4 Ac 2.41-2.58
N 0.8417 0.1583 0.2500  4 Ac 2.41-2.58

**Calculated total energy**: -99.88 eV/cell
**Fermi-level density of states**: 0.12 states/eV per atom
**Theoretical density**: 7.17 Mg/m³
**ΔE_f (raw)**: -1279.7 meV per atom
**Space group**: Cmcm
**Total magnetic moment**: 0.00 μB/f.u.

[3]
Here is crystalline Ac4Sb2PN2 at its relaxed geometry from the Alexandria database. Energies are from PBE.

Lattice parameters (Å, degrees): 8.6306 8.6306 9.3595 117.95 117.95 29.19
Last column: nearest neighbours and their distance in Å.
Sites, in units of the cell vectors:
Ac 0.0189 0.0189 0.2915  1 N 2.37
Ac 0.2770 0.2770 0.3620  3 N 2.45-2.51
Ac 0.7230 0.7230 0.6380  3 N 2.45-2.51
Ac 0.9811 0.9811 0.7085  1 N 2.37
Sb 0.4053 0.4053 0.9435  1 Sb 2.81
Sb 0.5947 0.5947 0.0565  1 Sb 2.81
P 0.5000 0.5000 0.5000  6 Ac 3.04-3.30
N 0.1768 0.1768 0.4846  4 Ac 2.37-2.51
N 0.8232 0.8232 0.5154  4 Ac 2.37-2.51

**Calculated total energy**: -56.76 eV/cell
**Fermi-level density of states**: 0.42 states/eV per atom
**Theoretical density**: 6.76 Mg/m³
**ΔE_f (raw)**: -1113.9 meV per atom
**Space group**: C2/m
**Total magnetic moment**: 0.00 μB/f.u.

[4]
Here is crystalline Ac2ScP2N6 at its relaxed geometry from the Alexandria database. Energies are from PBE.

Lattice parameters (Å, degrees): 6.4303 6.4303 6.4303 52.57 52.57 52.57
Last column: nearest neighbours and their distance in Å.
Sites, in units of the cell vectors:
Ac 0.2254 0.2254 0.2254  9 N 2.88-2.92
Ac 0.7746 0.7746 0.7746  9 N 2.88-2.92
Sc 0.0000 0.0000 0.0000  6 N 2.18
P 0.4313 0.4313 0.4313  3 N 1.61
P 0.5687 0.5687 0.5687  3 N 1.61
N 0.2548 0.2548 0.7377  1 P 1.61
N 0.2548 0.7377 0.2548  1 P 1.61
N 0.2623 0.7452 0.7452  1 P 1.61
N 0.7377 0.2548 0.2548  1 P 1.61
N 0.7452 0.2623 0.7452  1 P 1.61
N 0.7452 0.7452 0.2623  1 P 1.61

**Calculated total energy**: -87.53 eV/cell
**Fermi-level density of states**: 0.22 states/eV per atom
**Theoretical density**: 6.90 Mg/m³
**ΔE_f (raw)**: -1110.4 meV per atom
**Space group**: R-3m
**Total magnetic moment**: 0.67 μB/f.u.

[5]
Here is crystalline Ac3ScP2N6 at its relaxed geometry from the Alexandria database. Energies are from PBE.

Lattice parameters (Å, degrees): 5.7196 5.7196 6.7199 90.00 90.00 120.00
Last column: nearest neighbours and their distance in Å.
Sites, in units of the cell vectors:
Ac 0.0000 0.0000 0.0000  6 N 2.68
Ac 0.3333 0.6667 0.6555  9 N 2.84-2.88, 1 P 3.08
Ac 0.6667 0.3333 0.3445  9 N 2.84-2.88, 1 P 3.08
Sc 0.0000 0.0000 0.5000  6 N 2.21
P 0.3333 0.6667 0.1969  3 N 1.69
P 0.6667 0.3333 0.8031  3 N 1.69
N 0.1775 0.3549 0.3006  1 P 1.69
N 0.1775 0.8225 0.3006  1 P 1.69
N 0.3549 0.1775 0.6994  1 P 1.69
N 0.6451 0.8225 0.3006  1 P 1.69
N 0.8225 0.1775 0.6994  1 P 1.69
N 0.8225 0.6451 0.6994  1 P 1.69

**Calculated total energy**: -94.38 eV/cell
**Theoretical density**: 7.61 Mg/m³
**ΔE_f (raw)**: -1246.0 meV per atom
**Space group**: P-3m1
**Total magnetic moment**: 0.00 μB/f.u.

[6]
Here is crystalline Ac4PSe2N at its relaxed geometry from the Alexandria database. Energies are from PBE.

Lattice parameters (Å, degrees): 7.4071 4.2692 7.6834 90.00 108.64 90.00
Last column: nearest neighbours and their distance in Å.
Sites, in units of the cell vectors:
Ac 0.2224 0.0000 0.2129  2 N 2.87, 1 P 3.01, 1 Se 3.15
Ac 0.2408 0.5000 0.7782  1 N 2.83, 2 P 3.01, 2 Se 3.14
Ac 0.7592 0.5000 0.2218  1 N 2.83, 2 P 3.01, 2 Se 3.14
Ac 0.7776 0.0000 0.7871  2 N 2.87, 1 P 3.01, 1 Se 3.15
P 0.5000 0.0000 0.0000  6 Ac 3.01
Se 0.0000 0.0000 0.5000  6 Ac 3.14-3.15
Se 0.5000 0.5000 0.5000  6 Ac 3.28-3.30
N 0.0000 0.5000 0.0000  6 Ac 2.83-2.87

**Calculated total energy**: -49.69 eV/cell
**Fermi-level density of states**: 0.35 states/eV per atom
**Theoretical density**: 8.01 Mg/m³
**ΔE_f (raw)**: -1569.0 meV per atom
**Space group**: P2/m
**Total magnetic moment**: 0.00 μB/f.u.

[7]
Here is crystalline Ac6PSe3N2 at its relaxed geometry from the Alexandria database. Energies are from PBE.

Lattice parameters (Å, degrees): 7.2725 7.2725 7.6589 99.17 99.17 119.93
Last column: nearest neighbours and their distance in Å.
Sites, in units of the cell vectors:
Ac 0.0756 0.4291 0.7858  2 N 2.81-2.83, 1 P 3.00, 1 Se 3.14
Ac 0.2168 0.2168 0.2109  2 N 2.82, 1 P 3.00, 1 Se 3.10
Ac 0.4291 0.0756 0.7858  2 N 2.81-2.83, 1 P 3.00, 1 Se 3.14
Ac 0.5709 0.9244 0.2142  2 N 2.81-2.83, 1 P 3.00, 1 Se 3.14
Ac 0.7832 0.7832 0.7891  2 N 2.82, 1 P 3.00, 1 Se 3.10
Ac 0.9244 0.5709 0.2142  2 N 2.81-2.83, 1 P 3.00, 1 Se 3.14
P 0.5000 0.5000 0.0000  6 Ac 3.00
Se 0.0000 0.0000 0.5000  6 Ac 3.10-3.25
Se 0.3405 0.6595 0.5000  6 Ac 3.14-3.26
Se 0.6595 0.3405 0.5000  6 Ac 3.14-3.26
N 0.1677 0.8323 0.0000  6 Ac 2.81-2.83
N 0.8323 0.1677 0.0000  6 Ac 2.81-2.83

**Calculated total energy**: -75.61 eV/cell
**Fermi-level density of states**: 0.41 states/eV per atom
**Theoretical density**: 8.27 Mg/m³
**ΔE_f (raw)**: -1536.9 meV per atom
**Space group**: C2/m
**Total magnetic moment**: 0.00 μB/f.u.

[8]
Here is crystalline Ac8P3Se4N at its relaxed geometry from the Alexandria database. Energies are from PBE.

Lattice parameters (Å, degrees): 8.8853 8.8853 8.8853 58.74 58.74 58.74
Last column: nearest neighbours and their distance in Å.
Sites, in units of the cell vectors:
Ac 0.2446 0.2446 0.2446  3 P 3.04, 3 Se 3.18
Ac 0.2573 0.7321 0.7321  1 N 2.89, 2 P 3.05, 2 Se 3.19
Ac 0.2679 0.2679 0.7427  1 N 2.89, 2 P 3.05, 2 Se 3.19
Ac 0.2679 0.7427 0.2679  1 N 2.89, 2 P 3.05, 2 Se 3.19
Ac 0.7321 0.2573 0.7321  1 N 2.89, 2 P 3.05, 2 Se 3.19
Ac 0.7321 0.7321 0.2573  1 N 2.89, 2 P 3.05, 2 Se 3.19
Ac 0.7427 0.2679 0.2679  1 N 2.89, 2 P 3.05, 2 Se 3.19
Ac 0.7554 0.7554 0.7554  3 P 3.04, 3 Se 3.18
P 0.0000 0.0000 0.5000  6 Ac 3.04-3.05
P 0.0000 0.5000 0.0000  6 Ac 3.04-3.05
P 0.5000 0.0000 0.0000  6 Ac 3.04-3.05
Se 0.0000 0.0000 0.0000  6 Ac 3.34
Se 0.0000 0.5000 0.5000  6 Ac 3.18-3.19
Se 0.5000 0.0000 0.5000  6 Ac 3.18-3.19
Se 0.5000 0.5000 0.0000  6 Ac 3.18-3.19
N 0.5000 0.5000 0.5000  6 Ac 2.89

**Calculated total energy**: -97.78 eV/cell
**Fermi-level density of states**: 0.33 states/eV per atom
**Theoretical density**: 7.72 Mg/m³
**ΔE_f (raw)**: -1651.1 meV per atom
**Space group**: R-3m
**Total magnetic moment**: 0.00 μB/f.u.

[9]
Here is crystalline Ac2SmP2N6 at its relaxed geometry from the Alexandria database. Energies are from PBE.

Lattice parameters (Å, degrees): 5.7553 5.7553 6.9710 115.68 115.68 58.70
Last column: nearest neighbours and their distance in Å.
Sites, in units of the cell vectors:
Ac 0.2053 0.2053 0.1863  7 N 2.69-2.90
Ac 0.7947 0.7947 0.8137  7 N 2.69-2.90
Sm 0.0000 0.0000 0.5000  6 N 2.39-2.47
P 0.4522 0.4522 0.7353  3 N 1.60
P 0.5478 0.5478 0.2647  3 N 1.60
N 0.2101 0.6980 0.1846  1 P 1.60
N 0.2709 0.2709 0.6391  1 P 1.60
N 0.3020 0.7899 0.8154  1 P 1.60
N 0.6980 0.2101 0.1846  1 P 1.60
N 0.7291 0.7291 0.3609  1 P 1.60
N 0.7899 0.3020 0.8154  1 P 1.60

**Calculated total energy**: -85.24 eV/cell
**Fermi-level density of states**: 0.24 states/eV per atom
**Theoretical density**: 7.28 Mg/m³
**ΔE_f (raw)**: -1048.7 meV per atom
**Space group**: C2/m
**Total magnetic moment**: 0.00 μB/f.u.